# Dy3SnPb2 (PBE, relaxed)
# space group	No. 62
# calculated formation energy	-429	meV per atom
# raw total energy	-4.63	eV per atom
# energy above the most stable polymorph in this dataset	98.7	meV/atom
# volume	704.5	Å³/cell
data_Dy3SnPb2
_cell_length_a 13.095
_cell_length_b 4.526
_cell_length_c 11.887
_cell_angle_alpha 90.00
_cell_angle_beta 90.00
_cell_angle_gamma 90.00
_space_group_name_H-M_alt 'P 1'
_space_group_IT_number 1
_space_group_name_Hall 'P 1'
loop_
_atom_site_label
_atom_site_fract_x
_atom_site_fract_y
_atom_site_fract_z
Dy1 0.059 0.250 0.108
Dy2 0.132 0.750 0.564
Dy3 0.240 0.750 0.278
Dy4 0.260 0.250 0.778
Dy5 0.368 0.250 0.064
Dy6 0.441 0.750 0.608
Dy7 0.559 0.250 0.392
Dy8 0.632 0.750 0.936
Dy9 0.740 0.750 0.222
Dy10 0.760 0.250 0.722
Dy11 0.868 0.250 0.436
Dy12 0.941 0.750 0.892
Sn1 0.106 0.250 0.378
Sn2 0.394 0.750 0.878
Sn3 0.606 0.250 0.122
Sn4 0.894 0.750 0.622
Pb1 0.029 0.250 0.737
Pb2 0.186 0.750 0.997
Pb3 0.314 0.250 0.497
Pb4 0.471 0.750 0.237
Pb5 0.529 0.250 0.763
Pb6 0.686 0.750 0.503
Pb7 0.814 0.250 0.003
Pb8 0.971 0.750 0.263